[1]
VASP calculation (GGA-PBE) on an optimized crystal structure of ZnCd2W.

It has space group P4/mmm (No. 123), with a = 2.8323 Å, b = 2.8323 Å, c = 9.0244 Å, α = 90.00°, β = 90.00° and γ = 90.00°. Symmetry generates all atoms from Zn at (0.0000, 0.0000, 0.0000), Cd at (0.5000, 0.5000, 0.2490) and W at (0.0000, 0.0000, 0.5000).

The calculation puts the total energy at -3.5870 eV per atom. The size of the total moment is 0.00 μB/cell. The value obtained for the energy of formation from the pure elements is 0.43 eV per atom.


[2]
VASP calculation (GGA-PBE) on an optimized crystal structure of ZnCdW2.

It has space group Cmmm (No. 65), with a = 5.4177 Å, b = 9.0058 Å, c = 2.7211 Å, α = 90.00°, β = 90.00° and γ = 90.00°. Symmetry generates all atoms from Zn at (0.0000, 0.0000, 0.0000), Cd at (0.0000, 0.5000, 0.0000) and W at (0.2500, 0.2500, 0.5000).

The calculation puts the total energy at -6.4824 eV per atom. The size of the total moment is 0.00 μB/cell. As for the excess energy over the best structure of this formula in the dataset: 0.264 eV/atom. The value obtained for the energy of formation from the pure elements is 0.54 eV per atom.


[3]
VASP calculation (GGA-PBE) on an optimized crystal structure of Zn2CdW.

It has space group I-4m2 (No. 119), with a = 3.8107 Å, b = 3.8107 Å, c = 9.0401 Å, α = 90.00°, β = 90.00° and γ = 90.00°. Symmetry generates all atoms from Zn at (0.0000, 0.0000, 0.0000), Zn at (0.0000, 0.5000, 0.2500), Cd at (0.0000, 0.5000, 0.7500) and W at (0.0000, 0.0000, 0.5000).

The calculation puts the total energy at -3.5901 eV per atom. The size of the total moment is 0.00 μB/cell. The value obtained for the energy of formation from the pure elements is 0.51 eV per atom.


[4]
VASP calculation (GGA-PBE) on an optimized crystal structure of ZnCdW2.

It has space group I-42d (No. 122), with a = 3.7917 Å, b = 3.7917 Å, c = 20.0637 Å, α = 90.00°, β = 90.00° and γ = 90.00°. Symmetry generates all atoms from Zn at (0.0000, 0.0000, 0.0000), Cd at (0.0000, 0.0000, 0.5000) and W at (0.2402, 0.2500, 0.1250).

The calculation puts the total energy at -6.1441 eV per atom. The size of the total moment is 0.00 μB/cell. As for the excess energy over the best structure of this formula in the dataset: 0.602 eV/atom. The value obtained for the energy of formation from the pure elements is 0.88 eV per atom.


[5]
VASP calculation (GGA-PBE) on an optimized crystal structure of Zn2CdW.

It has space group P4/mmm (No. 123), with a = 4.6836 Å, b = 4.6836 Å, c = 2.9445 Å, α = 90.00°, β = 90.00° and γ = 90.00°. Symmetry generates all atoms from Zn at (0.0000, 0.5000, 0.0000), Cd at (0.0000, 0.0000, 0.5000) and W at (0.5000, 0.5000, 0.5000).

The calculation puts the total energy at -3.7150 eV per atom. The size of the total moment is 0.00 μB/cell. The value obtained for the energy of formation from the pure elements is 0.39 eV per atom.


[6]
VASP calculation (GGA-PBE) on an optimized crystal structure of Zn2CdW.

It has space group Pmmm (No. 47), with a = 2.8042 Å, b = 3.9901 Å, c = 5.9327 Å, α = 90.00°, β = 90.00° and γ = 90.00°. Symmetry generates all atoms from Zn at (0.0000, 0.0000, 0.2204), Cd at (0.5000, 0.5000, 0.5000) and W at (0.5000, 0.5000, 0.0000).

The calculation puts the total energy at -3.7354 eV per atom. The size of the total moment is 0.00 μB/cell. The value obtained for the energy of formation from the pure elements is 0.37 eV per atom.


[7]
VASP calculation (GGA-PBE) on an optimized crystal structure of ZnCdW3.

It has space group Pm-3m (No. 221), with a = 4.5894 Å, b = 4.5894 Å, c = 4.5894 Å, α = 90.00°, β = 90.00° and γ = 90.00°. Symmetry generates all atoms from Zn at (0.0000, 0.0000, 0.0000), Cd at (0.5000, 0.5000, 0.5000) and W at (0.0000, 0.0000, 0.5000).

The calculation puts the total energy at -6.2897 eV per atom. The size of the total moment is 0.00 μB/cell. As for the excess energy over the best structure of this formula in the dataset: 0.000 eV/atom. The value obtained for the energy of formation from the pure elements is 1.92 eV per atom.


[8]
VASP calculation (GGA-PBE) on an optimized crystal structure of ZnCdW2.

It has space group Cm (No. 8), with a = 9.4573 Å, b = 2.7242 Å, c = 5.2296 Å, α = 90.00°, β = 95.13° and γ = 90.00°. Symmetry generates all atoms from Zn at (0.0000, 0.0000, 0.0000), Cd at (0.2459, 0.0000, 0.7749), W at (0.2425, 0.5000, 0.2725) and W at (0.4955, 0.0000, 0.4796).

The calculation puts the total energy at -6.5405 eV per atom. The size of the total moment is 0.00 μB/cell. As for the excess energy over the best structure of this formula in the dataset: 0.206 eV/atom. The value obtained for the energy of formation from the pure elements is 0.48 eV per atom.